Entry 1:
ZnIr2Ru | meta-GGA SCAN | single point on PBEsol structure

Properties
Crystal system: tetragonal
Total magnetization in μB/atom: 0.00
Space group: P4/mmm
ρ in kg/m3: 16743
Energy relative to the elements in eV/atom: -0.12

Cell lengths 2.718, 2.718, 7.394 Å; angles 90.00, 90.00, 90.00 degrees
Fractional positions:
1 Zn 0.000 0.000 0.000
2 Ir 0.500 0.500 0.254
3 Ir 0.500 0.500 0.746
4 Ru 0.000 0.000 0.500

Entry 2:
ZnIrRu3 | meta-GGA SCAN | single point on PBEsol structure

Properties
Crystal system: cubic
Total magnetization in μB/atom: 0.00
Space group: Pm-3m
ρ in kg/m3: 9496
Energy relative to the elements in eV/atom: 1.78

Cell lengths 4.612, 4.612, 4.612 Å; angles 90.00, 90.00, 90.00 degrees
Fractional positions:
1 Zn 0.000 0.000 0.000
2 Ir 0.500 0.500 0.500
3 Ru 0.000 0.500 0.500
4 Ru 0.500 0.000 0.500
5 Ru 0.500 0.500 0.000